# 1
Material: Cs2LiSbBr6
Method: DFT, meta-GGA SCAN
State: PBEsol geometry

uncorrected formation energy: -1.438 eV per atom
E: -985.6 eV for the cell shown

a b c (Å): 10.956 10.956 10.956
angles (deg): 90.00 90.00 90.00
Space group Fm-3m (No. 225)
Symmetry-distinct sites (fractional):
Cs 0.250 0.250 0.250
Li 0.000 0.000 0.000
Sb 0.000 0.000 0.500
Br 0.000 0.000 0.246

# 2
Material: Cs2LiYBr6
Method: DFT, meta-GGA SCAN
State: PBEsol geometry

uncorrected formation energy: -2.055 eV per atom
E: -972.6 eV for the cell shown

a b c (Å): 10.920 10.920 10.920
angles (deg): 90.00 90.00 90.00
Space group Fm-3m (No. 225)
Symmetry-distinct sites (fractional):
Cs 0.250 0.250 0.250
Li 0.000 0.000 0.000
Y 0.000 0.000 0.500
Br 0.000 0.000 0.248

# 3
Material: CsLuNb6Br18
Method: DFT, meta-GGA SCAN
State: PBEsol geometry

uncorrected formation energy: -1.260 eV per atom
E: -1349.9 eV for the cell shown

a b c (Å): 9.6406 9.6406 17.9694
angles (deg): 90.00 90.00 120.00
Space group P-31c (No. 163)
Symmetry-distinct sites (fractional):
Cs 0.3333 0.6667 0.2500
Lu 0.3333 0.6667 0.7500
Nb 0.0396 0.1920 0.5665
Br 0.0471 0.2362 0.3375
Br 0.0861 0.4513 0.6626
Br 0.1407 0.4229 0.0007

# 4
Material: CsLuTa6Br18
Method: DFT, meta-GGA SCAN
State: PBEsol geometry

uncorrected formation energy: -1.212 eV per atom
E: -1748.9 eV for the cell shown

a b c (Å): 9.6333 9.6333 17.9411
angles (deg): 90.00 90.00 120.00
Space group P-31c (No. 163)
Symmetry-distinct sites (fractional):
Cs 0.3333 0.6667 0.2500
Lu 0.3333 0.6667 0.7500
Ta 0.0391 0.1891 0.5655
Br 0.0473 0.2359 0.3377
Br 0.0867 0.4498 0.6622
Br 0.1400 0.4222 0.0007

# 5
Material: Cs3MnBr5
Method: DFT, meta-GGA SCAN
State: PBEsol geometry

uncorrected formation energy: -1.781 eV per atom
E: -980.1 eV for the cell shown

a b c (Å): 9.487 9.487 15.224
angles (deg): 90.00 90.00 90.00
Space group I4/mcm (No. 140)
Symmetry-distinct sites (fractional):
Cs 0.000 0.000 0.250
Cs 0.158 0.342 0.000
Mn 0.000 0.500 0.250
Br 0.000 0.000 0.000
Br 0.146 0.354 0.346

# 6
Material: CsMn2Br
Method: DFT, meta-GGA SCAN
State: PBEsol geometry

uncorrected formation energy: 0.614 eV per atom
E: -365.3 eV for the cell shown

a b c (Å): 7.788 7.788 7.788
angles (deg): 90.00 90.00 90.00
Space group Fm-3m (No. 225)
Symmetry-distinct sites (fractional):
Cs 0.000 0.000 0.000
Mn 0.250 0.250 0.250
Br 0.000 0.000 0.500

# 7
Material: CsMnBr2
Method: DFT, meta-GGA SCAN
State: PBEsol geometry

uncorrected formation energy: -0.898 eV per atom
E: -394.3 eV for the cell shown

a b c (Å): 7.974 7.974 7.974
angles (deg): 90.00 90.00 90.00
Space group Fm-3m (No. 225)
Symmetry-distinct sites (fractional):
Cs 0.000 0.000 0.000
Mn 0.000 0.000 0.500
Br 0.250 0.250 0.250

# 8
Material: Cs2MnBr4
Method: DFT, meta-GGA SCAN
State: PBEsol geometry

uncorrected formation energy: -1.714 eV per atom
E: -734.9 eV for the cell shown

a b c (Å): 10.147 7.623 13.631
angles (deg): 90.00 90.00 90.00
Space group Pnma (No. 62)
Symmetry-distinct sites (fractional):
Cs 0.023 0.250 0.169
Cs 0.129 0.750 0.413
Mn 0.231 0.750 0.077
Br 0.009 0.250 0.902
Br 0.170 0.508 0.654
Br 0.185 0.250 0.407

Please write out number 5 again, unchanged.
Material: Cs3MnBr5
Method: DFT, meta-GGA SCAN
State: PBEsol geometry

uncorrected formation energy: -1.781 eV per atom
E: -980.1 eV for the cell shown

a b c (Å): 9.487 9.487 15.224
angles (deg): 90.00 90.00 90.00
Space group I4/mcm (No. 140)
Symmetry-distinct sites (fractional):
Cs 0.000 0.000 0.250
Cs 0.158 0.342 0.000
Mn 0.000 0.500 0.250
Br 0.000 0.000 0.000
Br 0.146 0.354 0.346

- Number 4 is which compound?
  CsLuTa6Br18